[1]
Density functional theory data (GGA-PBE) for a relaxed structure of YTh5C3.

The structure in POSCAR format:
```
YTh5C3
1.0
0.7813 -7.1399 0.9183
6.6922 2.6665 0.7326
-4.3257 4.3067 7.4493
Y Th C
2 10 6
Cartesian
3.6497 -0.2629 6.5678 Y
-0.5019 0.0962 2.5325 Y
2.0584 -4.9216 1.1482 Th
2.1760 -1.3025 0.4807 Th
-0.6138 -3.4977 3.1687 Th
3.7616 3.3310 5.9315 Th
2.8635 -2.5887 3.8248 Th
2.9801 1.0234 3.2169 Th
0.1678 -1.1901 5.8833 Th
1.0895 4.7550 7.9520 Th
5.2975 -3.1709 1.1703 Th
0.2843 2.4220 5.2755 Th
2.3741 -2.4769 6.3428 C
0.0000 0.0000 0.0000 C
4.1378 -1.0627 2.1909 C
0.7737 2.3102 2.7574 C
-0.9900 0.8961 6.9094 C
-1.7722 -1.4166 4.1838 C
```

Calculated values
D(E_F)	18.0	states/eV/cell
total magnetic moment	0.00	Bohr magnetons per cell
final energy	-8.079	eV per atom


[2]
Density functional theory data (GGA-PBE) for a relaxed structure of YTh3C.

The structure in POSCAR format:
```
YTh3C
1.0
-3.5013 3.2456 1.9826
-0.7255 -3.2153 3.9823
3.7334 2.4190 2.6332
Th C Y
3 1 1
Cartesian
1.8667 1.2095 1.3166 Th
-1.7506 1.6228 0.9913 Th
-0.3628 -1.6077 1.9912 Th
0.0000 0.0000 0.0000 C
-0.2467 1.2246 4.2991 Y
```

Calculated values
D(E_F)	5.2	states/eV/cell
total magnetic moment	0.00	Bohr magnetons per cell
final energy	-7.700	eV per atom


[3]
Density functional theory data (GGA-PBE) for a relaxed structure of YTh6C5.

The structure in POSCAR format:
```
YTh6C5
1.0
-4.1305 -2.6495 -4.7734
-0.2752 -2.3200 6.4349
-8.9809 8.9074 2.8272
C Th Y
10 12 2
Cartesian
-7.3359 1.9141 0.3763 C
-2.8454 -2.5396 -1.0373 C
-8.2658 4.9546 2.6975 C
-1.5603 -2.4298 2.6988 C
-3.6798 1.3067 -0.9511 C
-6.0508 2.0239 4.1124 C
-9.4316 4.9513 -0.9952 C
-6.9153 5.1663 6.3204 C
-2.3408 1.4211 2.9417 C
-5.1208 -1.0167 1.7913 C
-1.2218 -0.3665 4.2488 Th
-5.1601 1.4635 1.7319 Th
-2.7782 -0.8989 0.9820 Th
-8.2265 2.4744 2.7569 Th
-10.6084 4.8369 3.5067 Th
-9.5429 6.8250 0.6275 Th
-8.0343 6.9540 5.0133 Th
-3.6037 1.9959 4.9987 Th
-5.6524 4.5915 4.2635 Th
-5.9504 1.7953 -1.8239 Th
-3.5685 -0.5671 -2.5737 Th
-7.1610 4.4626 -0.1223 Th
-2.2452 2.2269 0.7068 Y
-6.7357 6.6806 2.1204 Y
```

Calculated values
D(E_F)	13.9	states/eV/cell
total magnetic moment	0.00	Bohr magnetons per cell
final energy	-8.028	eV per atom


- The highest D(E_F) belongs to which entry?
  YTh5C3


- Among the records above, which one has the lowest final energy?
  YTh5C3


- What is the total magnetic moment in the first record?
  0.00 Bohr magnetons per cell